VASP calculation (GGA+U) on crystalline LiCoPO4 at its relaxed geometry.

Properties
Calculated total energy ... -184.68 eV for the cell shown

Lattice parameters (Å, degrees): 5.162 8.941 10.729 114.56 103.87 90.00
Each line ends with the local moment (μB).
Fractional positions:
Li (0.617, 0.617, 0.234)  0.00
O (0.745, 0.410, 0.203)  0.04
O (0.245, 0.910, 0.203)  0.04
Li (0.117, 0.117, 0.234)  0.00
O (0.461, 0.793, 0.922)  0.05
Co (0.812, 0.479, 0.624)  2.72
O (0.135, 0.184, 0.703)  0.04
O (0.961, 0.293, 0.922)  0.05
P (0.130, 0.797, 0.260)  0.01
O (0.817, 0.769, 0.203)  0.04
P (0.380, 0.713, 0.760)  0.01
P (0.630, 0.297, 0.260)  0.01
Co (0.562, 0.896, 0.124)  2.72
O (0.711, 0.328, 0.704)  0.04
O (0.708, 0.043, 0.703)  0.04
O (0.211, 0.877, 0.422)  0.05
Li (0.367, 0.367, 0.734)  0.00
O (0.636, 0.684, 0.703)  0.04
Li (0.867, 0.867, 0.734)  0.00
O (0.211, 0.828, 0.704)  0.04
O (0.317, 0.269, 0.203)  0.04
O (0.742, 0.126, 0.203)  0.04
Co (0.312, 0.979, 0.624)  2.72
O (0.208, 0.543, 0.703)  0.04
O (0.242, 0.626, 0.203)  0.04
P (0.880, 0.213, 0.760)  0.01
Co (0.062, 0.396, 0.124)  2.72
O (0.711, 0.377, 0.422)  0.05